Record 1
# GGA-PBE Tb2Dy3Er6Tl, relaxed
# **Calculated total energy**: -106.02 eV for the cell shown
# **Calculated volume**: 362.2 Å³/f.u.
# **Energy relative to the elements**: -0.02 eV/atom
# **Calculated density**: 9.23 g/cm³
data_Tb2Dy3Er6Tl
_chemical_formula_sum 'Tb4 Dy6 Er12 Tl2'
_symmetry_space_group_name_H-M 'C 1 2/m 1'
_symmetry_Int_Tables_number 12
_cell_length_a 6.050
_cell_length_b 10.489
_cell_length_c 11.598
_cell_angle_alpha 90.00
_cell_angle_beta 100.13
_cell_angle_gamma 90.00
loop_
_symmetry_equiv_pos_as_xyz
'x,y,z'
'-x,-y,-z'
'-x,y,-z'
'x,-y,z'
'x+1/2,y+1/2,z'
'-x+1/2,-y+1/2,-z'
'-x+1/2,y+1/2,-z'
'x+1/2,-y+1/2,z'
loop_
_atom_site_label
_atom_site_type_symbol
_atom_site_fract_x
_atom_site_fract_y
_atom_site_fract_z
Tb1 Tb 0.000 0.166 0.000
Dy1 Dy 0.000 0.000 0.500
Dy2 Dy 0.000 0.333 0.500
Er1 Er 0.246 0.335 0.248
Er2 Er 0.248 0.500 0.751
Tl1 Tl 0.000 0.500 0.000

Record 2
# GGA-PBE Tb3Dy2Er6Tl, relaxed
# **Calculated total energy**: -106.03 eV for the cell shown
# **Calculated volume**: 362.9 Å³/f.u.
# **Energy relative to the elements**: -0.01 eV/atom
# **Calculated density**: 9.20 g/cm³
data_Tb3Dy2Er6Tl
_chemical_formula_sum 'Tb6 Dy4 Er12 Tl2'
_symmetry_space_group_name_H-M 'C 1 2/m 1'
_symmetry_Int_Tables_number 12
_cell_length_a 6.058
_cell_length_b 10.502
_cell_length_c 11.588
_cell_angle_alpha 90.00
_cell_angle_beta 100.13
_cell_angle_gamma 90.00
loop_
_symmetry_equiv_pos_as_xyz
'x,y,z'
'-x,-y,-z'
'-x,y,-z'
'x,-y,z'
'x+1/2,y+1/2,z'
'-x+1/2,-y+1/2,-z'
'-x+1/2,y+1/2,-z'
'x+1/2,-y+1/2,z'
loop_
_atom_site_label
_atom_site_type_symbol
_atom_site_fract_x
_atom_site_fract_y
_atom_site_fract_z
Tb1 Tb 0.000 0.000 0.000
Tb2 Tb 0.000 0.333 0.000
Dy1 Dy 0.000 0.166 0.500
Er1 Er 0.246 0.335 0.747
Er2 Er 0.248 0.500 0.252
Tl1 Tl 0.000 0.500 0.500

Record 3
# GGA-PBE TbDy2ErTl2, relaxed
# **Calculated total energy**: -49.48 eV for the cell shown
# **Calculated volume**: 172.7 Å³/f.u.
# **Energy relative to the elements**: -0.27 eV/atom
# **Calculated density**: 10.19 g/cm³
data_TbDy2ErTl2
_chemical_formula_sum 'Tb2 Dy4 Er2 Tl4'
_symmetry_space_group_name_H-M 'P m c 21'
_symmetry_Int_Tables_number 26
_cell_length_a 5.089
_cell_length_b 9.946
_cell_length_c 6.823
_cell_angle_alpha 90.00
_cell_angle_beta 90.00
_cell_angle_gamma 90.00
loop_
_symmetry_equiv_pos_as_xyz
'x,y,z'
'-x,-y,z+1/2'
'-x,y,z'
'x,-y,z+1/2'
loop_
_atom_site_label
_atom_site_type_symbol
_atom_site_fract_x
_atom_site_fract_y
_atom_site_fract_z
Tb1 Tb 0.000 0.043 0.000
Dy1 Dy 0.000 0.314 0.375
Dy2 Dy 0.500 0.456 0.092
Er1 Er 0.500 0.189 0.717
Tl1 Tl 0.000 0.365 0.837
Tl2 Tl 0.500 0.132 0.257

Record 4
# GGA-PBE TbDyErTl, relaxed
# **Calculated total energy**: -65.19 eV for the cell shown
# **Calculated volume**: 115.0 Å³/f.u.
# **Energy relative to the elements**: -0.03 eV/atom
# **Energy relative to the lowest polymorph listed for this composition**: 144 meV per atom
# **Calculated density**: 10.01 g/cm³
data_TbDyErTl
_chemical_formula_sum 'Tb4 Dy4 Er4 Tl4'
_symmetry_space_group_name_H-M 'F -4 3 m'
_symmetry_Int_Tables_number 216
_symmetry_space_group_name_Hall 'F -4 2 3'
_cell_length_a 7.719
_cell_length_b 7.719
_cell_length_c 7.719
_cell_angle_alpha 90.00
_cell_angle_beta 90.00
_cell_angle_gamma 90.00
loop_
_atom_site_label
_atom_site_type_symbol
_atom_site_fract_x
_atom_site_fract_y
_atom_site_fract_z
Tb1 Tb 0.000 0.000 0.000
Dy1 Dy 0.000 0.000 0.500
Er1 Er 0.250 0.250 0.750
Tl1 Tl 0.250 0.250 0.250